Below is crystalline SrCa3In2 at its relaxed geometry, with properties calculated at the PBE level.

CIF file:
```
data_SrCa3In2
_chemical_formula_sum 'Sr2 Ca6 In4'
_cell_length_a 5.385
_cell_length_b 7.573
_cell_length_c 10.089
_cell_angle_alpha 90.00
_cell_angle_beta 90.00
_cell_angle_gamma 90.00
_space_group_name_H-M_alt 'P 1'
_space_group_IT_number 1
_space_group_name_Hall 'P 1'
loop_
_atom_site_label
_atom_site_type_symbol
_atom_site_fract_x
_atom_site_fract_y
_atom_site_fract_z
_atom_site_occupancy
In1 In 0.000 0.765 0.362 1
In2 In 0.000 0.265 0.638 1
In3 In 0.500 0.235 0.131 1
In4 In 0.500 0.735 0.869 1
Sr1 Sr 0.500 0.034 0.446 1
Sr2 Sr 0.500 0.534 0.554 1
Ca1 Ca 0.000 0.467 0.944 1
Ca2 Ca 0.000 0.967 0.056 1
Ca3 Ca 0.500 0.664 0.182 1
Ca4 Ca 0.000 0.336 0.309 1
Ca5 Ca 0.000 0.836 0.691 1
Ca6 Ca 0.500 0.164 0.818 1
```

Calculated values
Formation energy from the elements   -354 meV per atom
SG   No. 26
Energy   -30.578 eV per cell